# 1
La2CeErAs4 | PBE-GGA | optimized geometry

- E (Ha/atom) = -0.2346
- Fermi-level density of states (states/eV per atom) = 0.780
- calculated formation energy (eV per atom) = -1.51

a b c (Å): 4.264 7.369 7.393
angles (deg): 109.42 90.00 90.00
Sites, in units of the cell vectors:
La1 0.500 0.000 0.500
La2 0.000 0.500 0.500
Ce1 0.500 0.500 0.000
Er1 0.000 0.000 0.000
As1 0.500 0.243 0.235
As2 0.500 0.757 0.765
As3 0.000 0.252 0.763
As4 0.000 0.748 0.237

---

# 2
TaTl2HgO4 | PBE-GGA | optimized geometry

- E (Ha/atom) = -0.2199
- formation energy from raw total energies (eV per atom) = -1.39
- Fermi-level density of states (states/eV per atom) = 0.403

a b c (Å): 6.007 6.007 6.007
angles (deg): 106.77 110.84 110.84
Sites, in units of the cell vectors:
Ta1 0.000 0.500 0.500
Tl1 0.500 0.750 0.250
Tl2 0.000 0.000 0.000
Hg1 0.500 0.250 0.750
O1 0.685 0.490 0.501
O2 0.011 0.194 0.510
O3 0.989 0.499 0.183
O4 0.315 0.817 0.806

---

# 3
Ba2CdAg3Hg4 | PBE-GGA | optimized geometry

- E (Ha/atom) = -0.0633
- Fermi-level density of states (states/eV per atom) = 0.556
- calculated formation energy (eV per atom) = -0.27

a b c (Å): 4.721 4.721 12.618
angles (deg): 90.00 90.00 90.00
Sites, in units of the cell vectors:
Ba1 0.500 0.000 0.249
Ba2 0.000 0.500 0.751
Cd1 0.500 0.500 0.500
Ag1 0.000 0.000 0.500
Ag2 0.500 0.000 0.863
Ag3 0.000 0.500 0.137
Hg1 0.500 0.500 0.000
Hg2 0.000 0.000 0.000
Hg3 0.500 0.000 0.639
Hg4 0.000 0.500 0.361

---

# 4
Rb3LiOs | PBE-GGA | optimized geometry

- E (Ha/atom) = -0.0745
- Fermi-level density of states (states/eV per atom) = 0.260
- calculated formation energy (eV per atom) = 1.18
- energy above the most stable polymorph in this dataset (eV per formula unit) = 0.000

a b c (Å): 6.584 6.584 6.584
angles (deg): 90.00 90.00 90.00
Sites, in units of the cell vectors:
Os1 0.000 0.000 0.000
Rb1 0.000 0.500 0.000
Rb2 0.000 0.000 0.500
Rb3 0.500 0.000 0.000
Li1 0.500 0.500 0.500